1.
DFT (GGA-PBE) results for Ti2GaBi after structural relaxation.

SG ... No. 123
Total moment ... 0.0 μB per cell
Energy of formation from the pure elements ... -0.077 eV per atom
Offset from the most stable computed form ... 0 meV/atom

abc: 4.318 4.318 4.080
angles: 90.00 90.00 90.00
Fractional positions:
Ti: 0.000 0.500 0.000
Ti: 0.500 0.000 0.000
Ga: 0.000 0.000 0.500
Bi: 0.500 0.500 0.500



2.
DFT (GGA-PBE) results for Ti7Ga2Bi2 after structural relaxation.

SG ... No. 12
Total moment ... 2.6 μB per cell
Energy of formation from the pure elements ... 0.030 eV per atom

abc: 6.981 6.981 4.786
angles: 108.37 108.37 79.30
Fractional positions:
Ti: 0.000 0.000 0.000
Ti: 0.041 0.386 0.224
Ti: 0.386 0.041 0.224
Ti: 0.491 0.491 0.733
Ti: 0.509 0.509 0.267
Ti: 0.614 0.959 0.776
Ti: 0.959 0.614 0.776
Ga: 0.255 0.255 0.782
Ga: 0.745 0.745 0.218
Bi: 0.204 0.796 0.500
Bi: 0.796 0.204 0.500



| no. | D(E_F) (states/eV/cell) |
| --- | --- |
| 1 | 2.76 |
| 2 | 11.33 |